Record 1
Compound: Ac2Ce2Te2Se3
Source: the Alexandria database
Functional: PBE
Structure: relaxed

```
9
Lattice="-2.927 2.927 8.418 2.927 -2.927 8.418 2.927 2.927 -8.418" Properties=species:S:1:pos:R:3 pbc="T T T"
Ac 0.000 0.000 3.262
Ac 0.000 0.000 13.574
Ce 2.927 0.000 0.000
Ce 0.000 2.927 0.000
Te 0.000 0.000 6.684
Te 0.000 0.000 10.153
Se 0.000 0.000 0.000
Se 2.927 0.000 4.209
Se 0.000 2.927 4.209
```

Summary:
SG: I4/mmm (139)

---

Record 2
Compound: AcCe2ThSe4
Source: the Alexandria database
Functional: PBE
Structure: relaxed

```
8
Lattice="7.394 0.000 0.000 0.000 4.258 0.000 -2.455 0.000 6.983" Properties=species:S:1:pos:R:3 pbc="T T T"
Ac 0.000 0.000 0.000
Ce -1.228 2.129 3.491
Ce 2.470 0.000 3.491
Th 3.697 2.129 0.000
Se 0.061 0.000 5.195
Se 1.290 2.129 1.826
Se 3.649 2.129 5.157
Se 4.878 0.000 1.787
```

Summary:
SG: P2/m (10)

---

Number 1: size of the total moment 2.8 μB per cell, D(E_F) 17.3 states/eV/cell, uncorrected formation energy -1.51 eV per atom. Number 2: size of the total moment 1.8 μB per cell, D(E_F) 13.9 states/eV/cell, uncorrected formation energy -1.74 eV per atom.